Material: TmMnTlI6
Method: DFT, GGA-PBE
State: relaxed

a b c (Å): 7.6446 7.6446 15.4533
angles (deg): 90.00 90.00 120.00
Closest atoms and distances in Å follow each position.
Fractional positions:
Tm (0.3333, 0.6667, 0.2500)  6 I 3.01
Tm (0.6667, 0.3333, 0.7500)  6 I 3.01
Mn (0.3333, 0.6667, 0.7500)  6 I 2.92
Mn (0.6667, 0.3333, 0.2500)  6 I 2.92
Tl (0.0000, 0.0000, 0.0000)  6 I 3.55
Tl (0.0000, 0.0000, 0.5000)  6 I 3.55
I (0.0089, 0.3722, 0.6400)  1 Mn 2.92, 1 Tm 3.01
I (0.0089, 0.6366, 0.8600)  1 Mn 2.92, 1 Tm 3.01
I (0.3634, 0.3722, 0.8600)  1 Mn 2.92, 1 Tm 3.01
I (0.3634, 0.9911, 0.6400)  1 Mn 2.92, 1 Tm 3.01
I (0.3722, 0.0089, 0.1400)  1 Mn 2.92, 1 Tm 3.01
I (0.3722, 0.3634, 0.3600)  1 Mn 2.92, 1 Tm 3.01
I (0.6278, 0.6366, 0.6400)  1 Mn 2.92, 1 Tm 3.01
I (0.6278, 0.9911, 0.8600)  1 Mn 2.92, 1 Tm 3.01
I (0.6366, 0.0089, 0.3600)  1 Mn 2.92, 1 Tm 3.01
I (0.6366, 0.6278, 0.1400)  1 Mn 2.92, 1 Tm 3.01
I (0.9911, 0.3634, 0.1400)  1 Mn 2.92, 1 Tm 3.01
I (0.9911, 0.6278, 0.3600)  1 Mn 2.92, 1 Tm 3.01

energy relative to the elements, uncorrected	-0.890	eV/atom
symmetry	No. 163
D(E_F)	0.00	states/eV/cell
final energy	-3.702	eV/atom
total moment	5.000	μB per formula unit


Material: UMnTl2I8
Method: DFT, GGA-PBE
State: relaxed

a b c (Å): 7.4516 9.1119 7.9937
angles (deg): 90.00 92.63 90.00
Closest atoms and distances in Å follow each position.
Fractional positions:
U (0.0000, 0.0000, 0.0000)  6 I 3.00-3.04
Mn (0.0000, 0.5000, 0.0000)  2 I 2.73
Tl (0.5000, 0.2677, 0.5000)  6 I 3.44-3.65
Tl (0.5000, 0.7323, 0.5000)  6 I 3.44-3.65
I (0.1992, 0.5000, 0.2955)  1 Mn 2.73
I (0.2166, 0.0000, 0.3255)  1 U 3.00
I (0.2306, 0.2461, 0.8691)  1 U 3.04, 1 Mn 3.09
I (0.2306, 0.7539, 0.8691)  1 U 3.04, 1 Mn 3.09
I (0.7694, 0.2461, 0.1309)  1 U 3.04, 1 Mn 3.09
I (0.7694, 0.7539, 0.1309)  1 U 3.04, 1 Mn 3.09
I (0.7834, 0.0000, 0.6745)  1 U 3.00
I (0.8008, 0.5000, 0.7045)  1 Mn 2.73

energy relative to the elements, uncorrected	-0.622	eV/atom
symmetry	No. 10
D(E_F)	10.23	states/eV/cell
final energy	-3.755	eV/atom
total moment	3.002	μB per formula unit


Material: MnTlZnI2
Method: DFT, GGA-PBE
State: relaxed

a b c (Å): 6.3504 6.3504 5.4295
angles (deg): 90.00 90.00 90.00
Closest atoms and distances in Å follow each position.
Fractional positions:
Mn (0.0000, 0.0000, 0.0000)  2 Tl 2.71
Tl (0.0000, 0.0000, 0.5000)  2 Mn 2.71
Zn (0.5000, 0.5000, 0.0000)  8 I 4.18, 4 Mn 4.49
I (0.0000, 0.5000, 0.5000)  2 Tl 3.18
I (0.5000, 0.0000, 0.5000)  2 Tl 3.18

energy relative to the elements, uncorrected	0.503	eV/atom
symmetry	No. 123
D(E_F)	3.11	states/eV/cell
final energy	-2.679	eV/atom
total moment	5.173	μB per formula unit


Material: Tm5Mn2I2
Method: DFT, GGA-PBE
State: relaxed

a b c (Å): 9.3692 9.3692 7.4783
angles (deg): 90.00 90.00 47.05
Closest atoms and distances in Å follow each position.
Fractional positions:
Tm (0.0000, 0.0000, 0.0000)  4 Mn 2.94
Tm (0.0517, 0.7290, 0.6612)  3 Mn 2.88-2.92
Tm (0.2290, 0.5517, 0.1612)  3 Mn 2.88-2.92
Tm (0.2710, 0.9483, 0.6612)  3 Mn 2.88-2.92
Tm (0.4483, 0.7710, 0.1612)  3 Mn 2.88-2.92
Tm (0.5000, 0.5000, 0.5000)  4 Mn 2.94
Tm (0.5517, 0.2290, 0.8388)  3 Mn 2.88-2.92
Tm (0.7290, 0.0517, 0.3388)  3 Mn 2.88-2.92
Tm (0.7710, 0.4483, 0.8388)  3 Mn 2.88-2.92
Tm (0.9483, 0.2710, 0.3388)  3 Mn 2.88-2.92
Mn (0.1285, 0.8715, 0.3722)  1 Mn 2.71, 8 Tm 2.88-2.94
Mn (0.3715, 0.6285, 0.8722)  1 Mn 2.71, 8 Tm 2.88-2.94
Mn (0.6285, 0.3715, 0.1278)  1 Mn 2.71, 8 Tm 2.88-2.94
Mn (0.8715, 0.1285, 0.6278)  1 Mn 2.71, 8 Tm 2.88-2.94
I (0.2192, 0.2192, 0.0000)  7 Tm 3.38-3.77
I (0.2808, 0.2808, 0.5000)  7 Tm 3.38-3.77
I (0.7192, 0.7192, 0.5000)  7 Tm 3.38-3.77
I (0.7808, 0.7808, 0.0000)  7 Tm 3.38-3.77

energy relative to the elements, uncorrected	-0.323	eV/atom
symmetry	No. 64
D(E_F)	10.21	states/eV/cell
final energy	-5.189	eV/atom
total moment	3.065	μB per formula unit


Material: TmMn2I8
Method: DFT, GGA-PBE
State: relaxed

a b c (Å): 8.7856 8.7856 7.1179
angles (deg): 97.00 97.00 91.92
Closest atoms and distances in Å follow each position.
Fractional positions:
Tm (0.0000, 0.0000, 0.0000)  6 I 3.00-3.06
Mn (0.2113, 0.2113, 0.6658)  4 I 2.60-2.71
Mn (0.7887, 0.7887, 0.3342)  4 I 2.60-2.71
I (0.0636, 0.7300, 0.2134)  1 Mn 2.71, 1 Tm 3.00
I (0.2157, 0.2157, 0.2919)  1 Mn 2.67
I (0.2700, 0.9364, 0.7866)  1 Mn 2.71, 1 Tm 3.00
I (0.4255, 0.4255, 0.7833)  1 Mn 2.60
I (0.5745, 0.5745, 0.2167)  1 Mn 2.60
I (0.7300, 0.0636, 0.2134)  1 Mn 2.71, 1 Tm 3.00
I (0.7843, 0.7843, 0.7081)  1 Mn 2.67
I (0.9364, 0.2700, 0.7866)  1 Mn 2.71, 1 Tm 3.00

energy relative to the elements, uncorrected	-0.698	eV/atom
symmetry	No. 12
final energy	-3.899	eV/atom
total moment	8.993	μB per formula unit


Material: TmMnI
Method: DFT, GGA-PBE
State: relaxed

a b c (Å): 12.8636 12.8636 12.8636
angles (deg): 17.26 17.26 17.26
Closest atoms and distances in Å follow each position.
Fractional positions:
Tm (0.0531, 0.0531, 0.0531)  6 Mn 2.97-3.05, 3 I 3.10
Tm (0.9469, 0.9469, 0.9469)  6 Mn 2.97-3.05, 3 I 3.10
Mn (0.3348, 0.3348, 0.3348)  3 Mn 2.23
Mn (0.6652, 0.6652, 0.6652)  3 Mn 2.23
I (0.2236, 0.2236, 0.2236)  3 Tm 3.10
I (0.7764, 0.7764, 0.7764)  3 Tm 3.10

energy relative to the elements, uncorrected	-0.659	eV/atom
symmetry	No. 166
D(E_F)	2.75	states/eV/cell
final energy	-5.723	eV/atom
total moment	0.000	μB per formula unit


Material: UMnI
Method: DFT, GGA-PBE
State: relaxed

a b c (Å): 3.9245 4.0286 10.7845
angles (deg): 93.15 98.06 105.82
Closest atoms and distances in Å follow each position.
Fractional positions:
U (0.0230, 0.2541, 0.1216)  1 Mn 2.11
U (0.9770, 0.7459, 0.8784)  1 Mn 2.11
Mn (0.4135, 0.1973, 0.9171)  1 U 2.11
Mn (0.5865, 0.8027, 0.0829)  1 U 2.11
I (0.2910, 0.3422, 0.6749)  1 Mn 2.71
I (0.7090, 0.6578, 0.3251)  1 Mn 2.71

energy relative to the elements, uncorrected	-0.215	eV/atom
symmetry	No. 2
D(E_F)	6.96	states/eV/cell
final energy	-7.551	eV/atom
total moment	0.216	μB per formula unit


Material: MnV3I
Method: DFT, GGA-PBE
State: relaxed

a b c (Å): 4.4571 4.4571 4.4571
angles (deg): 90.00 90.00 90.00
Closest atoms and distances in Å follow each position.
Fractional positions:
Mn (0.0000, 0.0000, 0.0000)  6 V 2.23
V (0.0000, 0.0000, 0.5000)  2 Mn 2.23
V (0.0000, 0.5000, 0.0000)  2 Mn 2.23
V (0.5000, 0.0000, 0.0000)  2 Mn 2.23
I (0.5000, 0.5000, 0.5000)  12 V 3.15

energy relative to the elements, uncorrected	0.915	eV/atom
symmetry	No. 221
D(E_F)	5.52	states/eV/cell
E above lowest polymorph	0	meV per atom
final energy	-6.700	eV/atom
total moment	2.955	μB per formula unit


Material: MnV2I
Method: DFT, GGA-PBE
State: relaxed

a b c (Å): 7.2806 7.2806 7.2806
angles (deg): 135.11 135.11 65.35
Closest atoms and distances in Å follow each position.
Fractional positions:
Mn (0.0000, 0.0000, 0.0000)  4 V 2.27
Mn (0.7500, 0.2500, 0.5000)  4 V 2.27
V (0.0436, 0.6250, 0.9186)  2 Mn 2.27
V (0.3750, 0.2936, 0.4186)  2 Mn 2.27
V (0.7064, 0.1250, 0.0814)  2 Mn 2.27
V (0.8750, 0.9564, 0.5814)  2 Mn 2.27
I (0.2500, 0.7500, 0.5000)  4 V 2.77
I (0.5000, 0.5000, 0.0000)  4 V 2.77

energy relative to the elements, uncorrected	0.985	eV/atom
symmetry	No. 122
D(E_F)	5.66	states/eV/cell
E above lowest polymorph	341	meV per atom
final energy	-6.254	eV/atom
total moment	3.480	μB per formula unit


Material: MnVI2
Method: DFT, GGA-PBE
State: relaxed

a b c (Å): 7.6388 7.6388 7.6388
angles (deg): 130.03 130.03 73.37
Closest atoms and distances in Å follow each position.
Fractional positions:
Mn (0.0000, 0.0000, 0.0000)  4 I 2.73
Mn (0.7500, 0.2500, 0.5000)  4 I 2.73
V (0.2500, 0.7500, 0.5000)  4 I 2.76
V (0.5000, 0.5000, 0.0000)  4 I 2.76
I (0.1213, 0.6250, 0.9963)  2 Mn 2.73, 2 V 2.76
I (0.3750, 0.3713, 0.4963)  2 Mn 2.73, 2 V 2.76
I (0.6287, 0.1250, 0.0037)  2 Mn 2.73, 2 V 2.76
I (0.8750, 0.8787, 0.5037)  2 Mn 2.73, 2 V 2.76

energy relative to the elements, uncorrected	0.541	eV/atom
symmetry	No. 122
D(E_F)	10.77	states/eV/cell
E above lowest polymorph	0	meV per atom
final energy	-4.806	eV/atom
total moment	8.015	μB per formula unit


Material: MnV2I
Method: DFT, GGA-PBE
State: relaxed

a b c (Å): 4.4399 4.4399 4.4399
angles (deg): 60.00 60.00 60.00
Closest atoms and distances in Å follow each position.
Fractional positions:
Mn (0.0000, 0.0000, 0.0000)  8 V 2.72
V (0.2500, 0.2500, 0.2500)  4 Mn 2.72, 4 I 2.72
V (0.7500, 0.7500, 0.7500)  4 Mn 2.72, 4 I 2.72
I (0.5000, 0.5000, 0.5000)  8 V 2.72

energy relative to the elements, uncorrected	0.644	eV/atom
symmetry	No. 225
D(E_F)	4.23	states/eV/cell
E above lowest polymorph	0	meV per atom
final energy	-6.595	eV/atom
total moment	0.862	μB per formula unit


Material: Mn2VI6
Method: DFT, GGA-PBE
State: relaxed

a b c (Å): 9.8308 9.8308 8.9811
angles (deg): 108.96 108.96 24.32
Closest atoms and distances in Å follow each position.
Fractional positions:
Mn (0.1670, 0.1670, 0.3334)  6 I 2.90-2.92
Mn (0.8330, 0.8330, 0.6666)  6 I 2.90-2.92
V (0.5000, 0.5000, 0.0000)  6 I 2.85
I (0.0067, 0.0067, 0.2226)  2 V 2.85, 1 Mn 2.91
I (0.3270, 0.3270, 0.4337)  3 Mn 2.90-2.92
I (0.3429, 0.3429, 0.9004)  1 V 2.85, 2 Mn 2.91
I (0.6571, 0.6571, 0.0996)  1 V 2.85, 2 Mn 2.91
I (0.6730, 0.6730, 0.5663)  3 Mn 2.90-2.92
I (0.9933, 0.9933, 0.7774)  2 V 2.85, 1 Mn 2.91

energy relative to the elements, uncorrected	-0.438	eV/atom
symmetry	No. 12
D(E_F)	0.11	states/eV/cell
final energy	-4.523	eV/atom
total moment	13.005	μB per formula unit